[1]
A plane-wave DFT calculation with SCAN was carried out for a crystal of InTeRh2 relaxed with PBEsol.

```
4
Lattice="3.215 0.000 0.000 0.000 4.451 0.000 0.000 0.000 4.966" Properties=species:S:1:pos:R:3 pbc="T T T"
In 1.608 3.390 2.483
Rh 1.608 0.039 0.000
Rh 0.000 1.133 2.483
Te 0.000 2.115 0.000
```

## Properties
ΔE to the lowest computed polymorph = 24.5 meV per atom
raw formation energy = -0.20 eV/atom
volume = 71 Å³ per cell
density of states at the Fermi level = 0.723 states/eV/atom
space group = No. 25
mass density = 10.5 Mg/m³

---

[2]
A plane-wave DFT calculation with SCAN was carried out for a crystal of Ti3In3Rh2 relaxed with PBEsol.

```
8
Lattice="3.015 0.000 0.000 0.000 7.241 0.000 0.000 -3.621 6.271" Properties=species:S:1:pos:R:3 pbc="T T T"
Ti 1.507 2.114 3.661
Ti 1.507 3.014 0.000
Ti 1.507 -1.507 2.610
In 0.000 0.858 1.486
In 0.000 5.526 0.000
In 0.000 -2.763 4.786
Rh 0.000 3.621 2.090
Rh 0.000 0.000 4.181
```

## Properties
formation energy from the elements = -14.00 kcal/mol of atoms
volume = 137 Å³ per cell
density of states at the Fermi level = 0.381 states/eV/atom
space group = No. 189
mass density = 8.4 Mg/m³

---

[3]
A plane-wave DFT calculation with SCAN was carried out for a crystal of Ti2InRh2 relaxed with PBEsol.

```
10
Lattice="2.967 0.000 0.000 0.000 7.322 0.000 0.000 0.000 7.322" Properties=species:S:1:pos:R:3 pbc="T T T"
Ti 1.484 1.186 4.847
Ti 1.484 4.847 6.136
Ti 1.484 6.136 2.475
Ti 1.484 2.475 1.186
Rh 0.000 2.687 6.348
Rh 0.000 6.348 4.635
Rh 0.000 4.635 0.974
Rh 0.000 0.974 2.687
In 0.000 0.000 0.000
In 0.000 3.661 3.661
```

## Properties
formation energy from the elements = -17.28 kcal/mol of atoms
volume = 159 Å³ per cell
density of states at the Fermi level = 0.793 states/eV/atom
space group = No. 127
mass density = 8.7 Mg/m³

---

[4]
A plane-wave DFT calculation with SCAN was carried out for a crystal of TlInRh2 relaxed with PBEsol.

```
4
Lattice="-2.892 0.154 -1.206 1.186 -1.077 -2.981 -1.041 -5.951 1.736" Properties=species:S:1:pos:R:3 pbc="T T T"
Tl -1.373 -3.437 -1.226
Rh -0.253 -1.448 0.423
Rh -0.788 -4.502 1.313
In -0.853 -0.462 -2.094
```

## Properties
formation energy from the elements = -3.36 kcal/mol of atoms
volume = 67 Å³ per cell
density of states at the Fermi level = 0.334 states/eV/atom
space group = No. 47
mass density = 13.1 Mg/m³

---

[5]
A plane-wave DFT calculation with SCAN was carried out for a crystal of TlInRh2 relaxed with PBEsol.

```
4
Lattice="3.424 0.000 0.000 0.000 4.411 0.000 0.000 0.000 4.411" Properties=species:S:1:pos:R:3 pbc="T T T"
Tl 1.712 2.206 2.206
Rh 0.000 0.000 2.206
Rh 0.000 2.206 0.000
In 1.712 0.000 0.000
```

## Properties
formation energy from the elements = -3.14 kcal/mol of atoms
volume = 67 Å³ per cell
density of states at the Fermi level = 0.336 states/eV/atom
space group = No. 123
mass density = 13.1 Mg/m³

---

[6]
A plane-wave DFT calculation with SCAN was carried out for a crystal of Tl2InRh relaxed with PBEsol.

```
4
Lattice="3.351 0.000 0.000 1.676 2.902 0.000 1.676 0.967 9.154" Properties=species:S:1:pos:R:3 pbc="T T T"
In 3.351 1.935 4.577
Rh 0.000 0.000 0.000
Tl 1.676 0.967 1.946
Tl 5.027 2.902 7.208
```

## Properties
formation energy from the elements = 4.14 kcal/mol of atoms
volume = 89 Å³ per cell
density of states at the Fermi level = 0.453 states/eV/atom
space group = No. 166
mass density = 11.7 Mg/m³

---

[7]
A plane-wave DFT calculation with SCAN was carried out for a crystal of TmInRh relaxed with PBEsol.

```
9
Lattice="-0.655 3.649 -0.190 -6.130 -1.311 -4.040 -0.433 0.310 7.439" Properties=species:S:1:pos:R:3 pbc="T T T"
Tm -0.502 1.949 2.904
Tm -2.799 1.296 -1.724
Tm -4.244 1.227 1.933
In -4.519 -0.967 -2.979
In -0.319 0.229 5.484
In -1.724 -0.263 0.893
Rh -4.231 -0.771 -0.214
Rh -0.327 1.824 -0.095
Rh -2.332 -0.230 3.612
```

## Properties
formation energy from the elements = -20.22 kcal/mol of atoms
volume = 179 Å³ per cell
density of states at the Fermi level = 0.572 states/eV/atom
space group = No. 189
mass density = 10.8 Mg/m³

---

[8]
A plane-wave DFT calculation with SCAN was carried out for a crystal of Tm4InRh relaxed with PBEsol.

```
24
Lattice="9.364 0.000 0.000 4.682 8.109 0.000 4.682 2.703 7.645" Properties=species:S:1:pos:R:3 pbc="T T T"
Tm 12.282 3.721 6.205
Tm 12.282 7.091 1.440
Tm 6.445 3.721 6.205
Tm 9.364 3.245 4.587
Tm 6.445 7.091 1.440
Tm 11.235 6.487 4.587
Tm 2.907 1.679 3.360
Tm 6.456 1.679 3.360
Tm 2.907 3.727 0.463
Tm 9.364 8.776 6.205
Tm 4.682 4.752 3.360
Tm 9.364 2.037 1.440
Tm 6.456 3.727 0.463
Tm 4.682 0.654 0.463
Tm 7.492 6.487 4.587
Tm 9.364 5.406 1.531
In 14.045 8.109 3.829
In 14.045 6.313 6.369
In 15.601 9.007 6.369
In 12.490 9.007 6.369
Rh 11.376 4.244 3.001
Rh 9.364 5.406 6.288
Rh 9.364 7.730 3.001
Rh 7.351 4.244 3.001
```

## Properties
formation energy from the elements = -16.18 kcal/mol of atoms
volume = 580 Å³ per cell
density of states at the Fermi level = 0.479 states/eV/atom
space group = No. 216
mass density = 10.2 Mg/m³

---

Number 1: final energy -34.745 eV per atom. Number 2: final energy -27.581 eV per atom. Number 3: final energy -27.347 eV per atom. Number 4: final energy -43.468 eV per atom. Number 5: final energy -43.458 eV per atom. Number 6: final energy -52.789 eV per atom. Number 7: final energy -40.540 eV per atom. Number 8: final energy -46.449 eV per atom.